DFT (PBE-GGA) results for an optimized crystal structure of Ba2TbIn. Values from VASP.

- formation enthalpy at 0 K (meV/atom) = 213
- magnetic moment (μB per atom) = 0.00
- calculated density (g cm⁻³) = 5.456

```
&SYSTEM
  ibrav = 0, nat = 4, ntyp = 3
/
ATOMIC_SPECIES
Ba 137.33 Ba.upf
Tb 158.93 Tb.upf
In 114.82 In.upf
CELL_PARAMETERS angstrom
1.9322 1.1155 12.9052
-1.9322 1.1155 12.9052
0.0000 -2.2311 12.9052
ATOMIC_POSITIONS angstrom
Ba 0.0000 0.0000 3.6484
Ba 0.0000 0.0000 35.0673
Tb 0.0000 0.0000 0.0000
In 0.0000 0.0000 19.3579
```

DFT (PBE-GGA) results for an optimized crystal structure of BaTb4In5. Values from VASP.

- formation enthalpy at 0 K (meV/atom) = -453
- magnetic moment (μB per atom) = 0.00
- calculated density (g cm⁻³) = 7.733

```
&SYSTEM
  ibrav = 0, nat = 10, ntyp = 3
/
ATOMIC_SPECIES
Ba 137.33 Ba.upf
Tb 158.93 Tb.upf
In 114.82 In.upf
CELL_PARAMETERS angstrom
3.8525 0.0000 0.0000
0.0000 3.8525 0.0000
0.0000 0.0000 19.4918
ATOMIC_POSITIONS angstrom
Ba 0.0000 0.0000 0.0000
Tb 0.0000 0.0000 4.2343
Tb 0.0000 0.0000 7.9184
Tb 0.0000 0.0000 11.5734
Tb 0.0000 0.0000 15.2575
In 1.9262 1.9262 2.4679
In 1.9262 1.9262 6.0912
In 1.9262 1.9262 9.7459
In 1.9262 1.9262 13.4006
In 1.9262 1.9262 17.0239
```

DFT (PBE-GGA) results for an optimized crystal structure of BaTbIn. Values from VASP.

- formation enthalpy at 0 K (meV/atom) = -108
- magnetic moment (μB per atom) = 0.00
- energy above the most stable polymorph in this dataset (meV per atom) = 207
- calculated density (g cm⁻³) = 6.170

```
&SYSTEM
  ibrav = 0, nat = 3, ntyp = 3
/
ATOMIC_SPECIES
Ba 137.33 Ba.upf
Tb 158.93 Tb.upf
In 114.82 In.upf
CELL_PARAMETERS angstrom
5.5622 0.0000 0.0000
-2.7811 4.8170 0.0000
0.0000 0.0000 4.1294
ATOMIC_POSITIONS angstrom
Ba 0.0000 0.0000 0.0000
Tb 0.0000 3.2114 2.0647
In 2.7811 1.6057 2.0647
```

DFT (PBE-GGA) results for an optimized crystal structure of BaTbIn. Values from VASP.

- formation enthalpy at 0 K (meV/atom) = -189
- magnetic moment (μB per atom) = 0.00
- energy above the most stable polymorph in this dataset (meV per atom) = 127
- calculated density (g cm⁻³) = 6.098

```
&SYSTEM
  ibrav = 0, nat = 3, ntyp = 3
/
ATOMIC_SPECIES
Ba 137.33 Ba.upf
Tb 158.93 Tb.upf
In 114.82 In.upf
CELL_PARAMETERS angstrom
-2.0097 2.0097 6.9283
2.0097 -2.0097 6.9283
2.0097 2.0097 -6.9283
ATOMIC_POSITIONS angstrom
Ba 0.0000 0.0000 0.0000
Tb 0.0000 0.0000 3.8638
In 0.0000 0.0000 9.3672
```

DFT (PBE-GGA) results for an optimized crystal structure of BaTbIn. Values from VASP.

- formation enthalpy at 0 K (meV/atom) = -315
- magnetic moment (μB per atom) = 0.00
- energy above the most stable polymorph in this dataset (meV per atom) = 0
- calculated density (g cm⁻³) = 5.905

```
&SYSTEM
  ibrav = 0, nat = 6, ntyp = 3
/
ATOMIC_SPECIES
Ba 137.33 Ba.upf
Tb 158.93 Tb.upf
In 114.82 In.upf
CELL_PARAMETERS angstrom
5.2595 0.0000 0.0000
0.0000 5.2595 0.0000
0.0000 0.0000 8.3584
ATOMIC_POSITIONS angstrom
Ba 1.3149 1.3149 1.1874
Ba 3.9446 3.9446 7.1710
Tb 1.3149 3.9446 4.1792
Tb 3.9446 1.3149 4.1792
In 1.3149 1.3149 5.9864
In 3.9446 3.9446 2.3720
```

DFT (PBE-GGA) results for an optimized crystal structure of BaTbTlIn. Values from VASP.

- formation enthalpy at 0 K (meV/atom) = -284
- magnetic moment (μB per atom) = 0.00
- calculated density (g cm⁻³) = 7.736

```
&SYSTEM
  ibrav = 0, nat = 4, ntyp = 4
/
ATOMIC_SPECIES
Ba 137.33 Ba.upf
Tb 158.93 Tb.upf
Tl 204.38 Tl.upf
In 114.82 In.upf
CELL_PARAMETERS angstrom
0.0000 4.0423 4.0423
4.0423 0.0000 4.0423
4.0423 4.0423 0.0000
ATOMIC_POSITIONS angstrom
Ba 0.0000 0.0000 0.0000
Tb 4.0423 4.0423 4.0423
Tl 6.0634 6.0634 6.0634
In 2.0211 2.0211 2.0211
```

DFT (PBE-GGA) results for an optimized crystal structure of BaTbZnIn. Values from VASP.

- formation enthalpy at 0 K (meV/atom) = -195
- magnetic moment (μB per atom) = 0.00
- calculated density (g cm⁻³) = 6.404

```
&SYSTEM
  ibrav = 0, nat = 4, ntyp = 4
/
ATOMIC_SPECIES
Ba 137.33 Ba.upf
Tb 158.93 Tb.upf
Zn 65.41 Zn.upf
In 114.82 In.upf
CELL_PARAMETERS angstrom
0.0000 3.9530 3.9530
3.9530 0.0000 3.9530
3.9530 3.9530 0.0000
ATOMIC_POSITIONS angstrom
Ba 0.0000 0.0000 0.0000
Tb 3.9530 3.9530 3.9530
Zn 5.9295 5.9295 5.9295
In 1.9765 1.9765 1.9765
```

DFT (PBE-GGA) results for an optimized crystal structure of Ba2InTc. Values from VASP.

- formation enthalpy at 0 K (meV/atom) = 710
- magnetic moment (μB per atom) = 0.00
- energy above the most stable polymorph in this dataset (meV per atom) = 410
- calculated density (g cm⁻³) = 6.151

```
&SYSTEM
  ibrav = 0, nat = 4, ntyp = 3
/
ATOMIC_SPECIES
Ba 137.33 Ba.upf
In 114.82 In.upf
Tc 98.00 Tc.upf
CELL_PARAMETERS angstrom
1.8941 1.0936 10.5896
-1.8941 1.0936 10.5896
0.0000 -2.1871 10.5896
ATOMIC_POSITIONS angstrom
Ba 0.0000 0.0000 7.5391
Ba 0.0000 0.0000 24.2298
In 0.0000 0.0000 0.0000
Tc 0.0000 0.0000 15.8845
```

DFT (PBE-GGA) results for an optimized crystal structure of BaInTc2. Values from VASP.

- formation enthalpy at 0 K (meV/atom) = 212
- magnetic moment (μB per atom) = 0.00
- energy above the most stable polymorph in this dataset (meV per atom) = 0
- calculated density (g cm⁻³) = 6.974

```
&SYSTEM
  ibrav = 0, nat = 4, ntyp = 3
/
ATOMIC_SPECIES
Ba 137.33 Ba.upf
In 114.82 In.upf
Tc 98.00 Tc.upf
CELL_PARAMETERS angstrom
2.1382 1.2345 6.7367
-2.1382 1.2345 6.7367
0.0000 -2.4690 6.7367
ATOMIC_POSITIONS angstrom
Ba 0.0000 0.0000 0.0000
In 0.0000 0.0000 4.0850
Tc 0.0000 0.0000 9.5026
Tc 0.0000 0.0000 15.9079
```

DFT (PBE-GGA) results for an optimized crystal structure of Ba2InTc. Values from VASP.

- formation enthalpy at 0 K (meV/atom) = 344
- magnetic moment (μB per atom) = 0.37
- energy above the most stable polymorph in this dataset (meV per atom) = 44
- calculated density (g cm⁻³) = 5.435

```
&SYSTEM
  ibrav = 0, nat = 4, ntyp = 3
/
ATOMIC_SPECIES
Ba 137.33 Ba.upf
In 114.82 In.upf
Tc 98.00 Tc.upf
CELL_PARAMETERS angstrom
4.8300 0.0000 0.0000
0.0000 2.4660 6.2523
0.0000 -2.4660 6.2523
ATOMIC_POSITIONS angstrom
Ba 0.0000 0.0000 0.0000
Ba 2.4150 0.0000 3.5453
In 0.0000 0.0000 8.7319
Tc 2.4150 0.0000 7.4782
```

DFT (PBE-GGA) results for an optimized crystal structure of BaInTc. Values from VASP.

- formation enthalpy at 0 K (meV/atom) = 427
- magnetic moment (μB per atom) = 0.10
- energy above the most stable polymorph in this dataset (meV per atom) = 0
- calculated density (g cm⁻³) = 7.029

```
&SYSTEM
  ibrav = 0, nat = 3, ntyp = 3
/
ATOMIC_SPECIES
Ba 137.33 Ba.upf
In 114.82 In.upf
Tc 98.00 Tc.upf
CELL_PARAMETERS angstrom
-1.8710 1.8710 5.9075
1.8710 -1.8710 5.9075
1.8710 1.8710 -5.9075
ATOMIC_POSITIONS angstrom
Ba 0.0000 0.0000 0.0000
In 0.0000 0.0000 8.5469
Tc 0.0000 0.0000 3.3726
```

DFT (PBE-GGA) results for an optimized crystal structure of BaInTc2. Values from VASP.

- formation enthalpy at 0 K (meV/atom) = 1024
- magnetic moment (μB per atom) = 0.00
- energy above the most stable polymorph in this dataset (meV per atom) = 812
- calculated density (g cm⁻³) = 8.890

```
&SYSTEM
  ibrav = 0, nat = 4, ntyp = 3
/
ATOMIC_SPECIES
Ba 137.33 Ba.upf
In 114.82 In.upf
Tc 98.00 Tc.upf
CELL_PARAMETERS angstrom
1.7584 -2.4747 0.0000
1.7584 2.4747 0.0000
0.0000 0.0000 9.6187
ATOMIC_POSITIONS angstrom
Ba 0.0000 0.0000 0.0000
In 0.0000 0.0000 4.8093
Tc 1.7584 0.0000 2.6827
Tc 1.7584 0.0000 6.9360
```